#A
! PBE Ac3Pb, relaxed; values from VASP
! DOS(E_F) (states/eV/atom): 0.9778
! M_tot (μB per atom): 0.000
! SG: Imm2, No. 44
&SYSTEM
  ibrav = 0, nat = 4, ntyp = 2
/
ATOMIC_SPECIES
Ac 227.00 Ac.upf
Pb 207.20 Pb.upf
CELL_PARAMETERS angstrom
-1.979 6.164 3.279
1.979 -6.164 3.279
1.979 6.164 -3.279
ATOMIC_POSITIONS angstrom
Ac 0.000 0.000 0.000
Ac 1.979 3.388 0.755
Ac 0.000 2.776 4.034
Pb 1.979 0.000 2.984

#B
! PBE Ac3Pb, relaxed; values from VASP
! DOS(E_F) (states/eV/atom): 1.6695
! M_tot (μB per atom): 0.000
! SG: Fm-3m, No. 225
&SYSTEM
  ibrav = 0, nat = 4, ntyp = 2
/
ATOMIC_SPECIES
Ac 227.00 Ac.upf
Pb 207.20 Pb.upf
CELL_PARAMETERS angstrom
0.000 4.293 4.293
4.293 0.000 4.293
4.293 4.293 0.000
ATOMIC_POSITIONS angstrom
Ac 0.000 0.000 0.000
Ac 2.147 2.147 2.147
Ac 6.440 6.440 6.440
Pb 4.293 4.293 4.293

#C
! PBE Ac3Pb, relaxed; values from VASP
! DOS(E_F) (states/eV/atom): 1.4840
! M_tot (μB per atom): 0.000
! SG: Pm-3m, No. 221
&SYSTEM
  ibrav = 0, nat = 4, ntyp = 2
/
ATOMIC_SPECIES
Ac 227.00 Ac.upf
Pb 207.20 Pb.upf
CELL_PARAMETERS angstrom
5.363 0.000 0.000
0.000 5.363 0.000
0.000 0.000 5.363
ATOMIC_POSITIONS angstrom
Ac 0.000 0.000 2.681
Ac 0.000 2.681 0.000
Ac 2.681 0.000 0.000
Pb 2.681 2.681 2.681

Q: Which of them is the least stable? A: #B.

#A
! PBE Ac4Pb3, relaxed; values from VASP
! DOS(E_F) (states/eV/atom): 0.4836
! M_tot (μB per atom): 0.000
! SG: I4/mmm, No. 139
&SYSTEM
  ibrav = 0, nat = 7, ntyp = 2
/
ATOMIC_SPECIES
Ac 227.00 Ac.upf
Pb 207.20 Pb.upf
CELL_PARAMETERS angstrom
-2.362 2.362 13.252
2.362 -2.362 13.252
2.362 2.362 -13.252
ATOMIC_POSITIONS angstrom
Ac 0.000 0.000 1.696
Ac 0.000 0.000 8.362
Ac 0.000 0.000 18.142
Ac 0.000 0.000 24.807
Pb 0.000 0.000 4.925
Pb 0.000 0.000 13.252
Pb 0.000 0.000 21.578

#B
! PBE Ac4Pb3, relaxed; values from VASP
! DOS(E_F) (states/eV/atom): 0.0941
! M_tot (μB per atom): 0.000
! SG: I-43d, No. 220
&SYSTEM
  ibrav = 0, nat = 14, ntyp = 2
/
ATOMIC_SPECIES
Ac 227.00 Ac.upf
Pb 207.20 Pb.upf
CELL_PARAMETERS angstrom
-5.157 5.157 5.157
5.157 -5.157 5.157
5.157 5.157 -5.157
ATOMIC_POSITIONS angstrom
Ac 3.279 1.878 -1.878
Ac 5.857 -0.700 0.700
Ac 1.878 -1.878 3.279
Ac 1.878 1.878 1.878
Ac -1.878 3.279 1.878
Ac 0.700 5.857 -0.700
Ac -0.700 0.700 5.857
Ac 4.456 4.456 4.456
Pb 5.157 -2.578 3.867
Pb 3.867 5.157 -2.578
Pb 5.157 2.578 1.289
Pb 2.578 1.289 5.157
Pb 1.289 5.157 2.578
Pb -2.578 3.867 5.157

Q: Which of them is the least stable? A: #A.

#A
! PBE AcPd2Pb4, relaxed; values from VASP
! DOS(E_F) (states/eV/atom): 0.4260
! M_tot (μB per atom): 0.000
! SG: Pnma, No. 62
&SYSTEM
  ibrav = 0, nat = 28, ntyp = 3
/
ATOMIC_SPECIES
Ac 227.00 Ac.upf
Pd 106.42 Pd.upf
Pb 207.20 Pb.upf
CELL_PARAMETERS angstrom
19.852 0.000 0.000
0.000 4.779 0.000
0.000 0.000 7.811
ATOMIC_POSITIONS angstrom
Ac 2.847 1.195 0.195
Ac 7.079 3.584 4.101
Ac 12.773 1.195 3.710
Ac 17.005 3.584 7.616
Pd 0.800 3.584 1.819
Pd 4.306 1.195 4.180
Pd 5.620 3.584 0.274
Pd 9.126 1.195 5.725
Pd 10.726 3.584 2.086
Pd 14.232 1.195 7.537
Pd 15.546 3.584 3.631
Pd 19.052 1.195 5.992
Pb 0.607 3.584 6.678
Pb 1.336 1.195 3.894
Pb 3.610 3.584 2.549
Pb 3.819 3.584 5.730
Pb 6.107 1.195 1.825
Pb 6.316 1.195 6.455
Pb 8.590 3.584 7.799
Pb 9.319 1.195 2.772
Pb 10.533 3.584 5.039
Pb 11.262 1.195 0.012
Pb 13.536 3.584 1.356
Pb 13.745 3.584 5.986
Pb 16.033 1.195 2.081
Pb 16.242 1.195 5.262
Pb 18.516 3.584 3.917
Pb 19.245 1.195 1.133

#B
! PBE AcPd2Pb4, relaxed; values from VASP
! DOS(E_F) (states/eV/atom): 0.6967
! M_tot (μB per atom): 0.000
! SG: Cmmm, No. 65
&SYSTEM
  ibrav = 0, nat = 7, ntyp = 3
/
ATOMIC_SPECIES
Ac 227.00 Ac.upf
Pd 106.42 Pd.upf
Pb 207.20 Pb.upf
CELL_PARAMETERS angstrom
2.284 -9.187 0.000
2.284 9.187 0.000
0.000 0.000 4.626
ATOMIC_POSITIONS angstrom
Ac 0.000 0.000 0.000
Pd 2.284 1.327 2.313
Pd 2.284 -1.327 2.313
Pb 2.284 6.077 2.313
Pb 2.284 3.213 0.000
Pb 2.284 -3.213 0.000
Pb 2.284 -6.077 2.313

Q: Which of them is the least stable? A: #B.

#A
! PBE AcPdPb, relaxed; values from VASP
! DOS(E_F) (states/eV/atom): 0.2492
! M_tot (μB per atom): 0.000
! SG: P-6m2, No. 187
&SYSTEM
  ibrav = 0, nat = 3, ntyp = 3
/
ATOMIC_SPECIES
Ac 227.00 Ac.upf
Pd 106.42 Pd.upf
Pb 207.20 Pb.upf
CELL_PARAMETERS angstrom
4.941 0.000 0.000
-2.470 4.279 0.000
0.000 0.000 4.004
ATOMIC_POSITIONS angstrom
Ac 0.000 0.000 0.000
Pd 0.000 2.853 2.002
Pb 2.470 1.426 2.002

#B
! PBE AcPdPb, relaxed; values from VASP
! DOS(E_F) (states/eV/atom): 0.7768
! M_tot (μB per atom): 0.000
! SG: I4mm, No. 107
&SYSTEM
  ibrav = 0, nat = 3, ntyp = 3
/
ATOMIC_SPECIES
Ac 227.00 Ac.upf
Pd 106.42 Pd.upf
Pb 207.20 Pb.upf
CELL_PARAMETERS angstrom
-1.848 1.848 6.034
1.848 -1.848 6.034
1.848 1.848 -6.034
ATOMIC_POSITIONS angstrom
Ac 0.000 0.000 0.000
Pd 0.000 0.000 4.100
Pb 0.000 0.000 8.601

#C
! PBE AcPdPb, relaxed; values from VASP
! DOS(E_F) (states/eV/atom): 1.9343
! M_tot (μB per atom): 0.000
! SG: F-43m, No. 216
&SYSTEM
  ibrav = 0, nat = 3, ntyp = 3
/
ATOMIC_SPECIES
Ac 227.00 Ac.upf
Pd 106.42 Pd.upf
Pb 207.20 Pb.upf
CELL_PARAMETERS angstrom
0.000 3.570 3.570
3.570 0.000 3.570
3.570 3.570 0.000
ATOMIC_POSITIONS angstrom
Ac 0.000 0.000 0.000
Pd 5.355 5.355 5.355
Pb 3.570 3.570 3.570

Q: Which of them is the least stable? A: #B.

#A
! PBE AcPdPb, relaxed; values from VASP
! DOS(E_F) (states/eV/atom): 0.4013
! M_tot (μB per atom): 0.000
! SG: P2_1/m, No. 11
&SYSTEM
  ibrav = 0, nat = 6, ntyp = 3
/
ATOMIC_SPECIES
Ac 227.00 Ac.upf
Pd 106.42 Pd.upf
Pb 207.20 Pb.upf
CELL_PARAMETERS angstrom
5.469 0.000 0.000
0.000 4.747 0.000
-1.459 0.000 6.657
ATOMIC_POSITIONS angstrom
Ac 0.121 1.187 1.705
Ac 3.889 3.561 4.952
Pd 1.185 3.561 3.547
Pd 2.825 1.187 3.110
Pb 1.036 1.187 5.430
Pb 2.974 3.561 1.227

#B
! PBE AcPdPb, relaxed; values from VASP
! DOS(E_F) (states/eV/atom): 0.5973
! M_tot (μB per atom): 0.000
! SG: Pmma, No. 51
&SYSTEM
  ibrav = 0, nat = 18, ntyp = 3
/
ATOMIC_SPECIES
Ac 227.00 Ac.upf
Pd 106.42 Pd.upf
Pb 207.20 Pb.upf
CELL_PARAMETERS angstrom
14.353 0.000 0.000
0.000 4.315 0.000
0.000 0.000 8.073
ATOMIC_POSITIONS angstrom
Ac 0.641 0.000 1.935
Ac 3.588 0.000 6.984
Ac 6.535 0.000 1.935
Ac 7.818 0.000 6.137
Ac 10.765 0.000 1.089
Ac 13.712 0.000 6.137
Pd 1.350 2.157 7.622
Pd 3.588 0.000 3.611
Pd 5.827 2.157 7.622
Pd 8.526 2.157 0.451
Pd 10.765 0.000 4.462
Pd 13.004 2.157 0.451
Pb 1.874 2.157 4.629
Pb 3.588 2.157 1.661
Pb 5.303 2.157 4.629
Pb 9.050 2.157 3.444
Pb 10.765 2.157 6.412
Pb 12.480 2.157 3.444

Q: Which of them is the least stable? A: #A.

#A
! PBE AcPd2Pb3, relaxed; values from VASP
! DOS(E_F) (states/eV/atom): 0.5206
! M_tot (μB per atom): 0.000
! SG: P-3m1, No. 164
&SYSTEM
  ibrav = 0, nat = 12, ntyp = 3
/
ATOMIC_SPECIES
Ac 227.00 Ac.upf
Pd 106.42 Pd.upf
Pb 207.20 Pb.upf
CELL_PARAMETERS angstrom
7.883 0.000 0.000
-3.941 6.827 0.000
0.000 0.000 6.233
ATOMIC_POSITIONS angstrom
Ac 0.000 4.551 1.938
Ac 3.941 2.276 4.295
Pd 0.000 0.000 0.000
Pd -1.971 3.413 0.000
Pd 3.941 0.000 0.000
Pd 1.971 3.413 0.000
Pb 0.000 2.216 4.563
Pb -2.022 5.719 4.563
Pb 1.919 1.108 1.670
Pb 2.022 5.719 4.563
Pb 5.963 1.108 1.670
Pb 3.941 4.610 1.670

#B
! PBE AcPd2Pb3, relaxed; values from VASP
! DOS(E_F) (states/eV/atom): 0.4726
! M_tot (μB per atom): 0.000
! SG: C2/m, No. 12
&SYSTEM
  ibrav = 0, nat = 18, ntyp = 3
/
ATOMIC_SPECIES
Ac 227.00 Ac.upf
Pd 106.42 Pd.upf
Pb 207.20 Pb.upf
CELL_PARAMETERS angstrom
9.393 -2.336 0.000
9.393 2.336 0.000
-3.618 0.000 10.866
ATOMIC_POSITIONS angstrom
Ac 0.000 0.000 0.000
Ac 0.530 0.000 7.625
Ac 14.638 0.000 3.241
Pd 3.258 0.000 1.310
Pd 4.854 0.000 5.779
Pd 8.240 0.000 2.133
Pd 6.929 0.000 8.733
Pd 10.315 0.000 5.087
Pd 11.910 0.000 9.555
Pb -0.562 0.000 3.649
Pb 2.585 0.000 4.188
Pb 5.973 0.000 0.538
Pb 4.070 0.000 8.739
Pb 7.584 0.000 5.433
Pb 11.099 0.000 2.126
Pb 9.196 0.000 10.328
Pb 12.583 0.000 6.677
Pb 15.731 0.000 7.217

Q: Which of them is the least stable? A: #A.